# PBE SbPbNF2, relaxed
data_SbPbNF2
_chemical_formula_sum 'Sb1 Pb1 N1 F2'
_symmetry_space_group_name_H-M 'P 1'
_symmetry_Int_Tables_number 1
_cell_length_a 4.354
_cell_length_b 4.354
_cell_length_c 6.286
_cell_angle_alpha 90.00
_cell_angle_beta 90.00
_cell_angle_gamma 90.00
loop_
_symmetry_equiv_pos_as_xyz
'x,y,z'
loop_
_atom_site_label
_atom_site_type_symbol
_atom_site_fract_x
_atom_site_fract_y
_atom_site_fract_z
Sb1 Sb 0.000 0.000 0.000
Pb1 Pb 0.000 0.000 0.500
N1 N 0.500 0.500 0.000
F1 F 0.000 0.500 0.500
F2 F 0.500 0.000 0.500
# Energy relative to the elements, uncorrected (eV per atom): -0.08
# SG: P4/mmm (123)
# Raw total energy (eV per atom): -4.064
# Excess energy over the best structure of this formula in the dataset (eV per formula unit): 3.10
# Crystal system: tetragonal


# PBE SbPbNF2, relaxed
data_SbPbNF2
_chemical_formula_sum 'Sb1 Pb1 N1 F2'
_symmetry_space_group_name_H-M 'P 1'
_symmetry_Int_Tables_number 1
_cell_length_a 4.538
_cell_length_b 4.538
_cell_length_c 4.505
_cell_angle_alpha 90.00
_cell_angle_beta 90.00
_cell_angle_gamma 90.00
loop_
_symmetry_equiv_pos_as_xyz
'x,y,z'
loop_
_atom_site_label
_atom_site_type_symbol
_atom_site_fract_x
_atom_site_fract_y
_atom_site_fract_z
Sb1 Sb 0.000 0.000 0.000
Pb1 Pb 0.500 0.500 0.500
N1 N 0.500 0.500 0.000
F1 F 0.000 0.500 0.500
F2 F 0.500 0.000 0.500
# Energy relative to the elements, uncorrected (eV per atom): -0.24
# SG: P4/mmm (123)
# Raw total energy (eV per atom): -4.219
# Excess energy over the best structure of this formula in the dataset (eV per formula unit): 2.32
# Crystal system: tetragonal


# PBE SbPbN2F, relaxed
data_SbPbN2F
_chemical_formula_sum 'Sb1 Pb1 N2 F1'
_symmetry_space_group_name_H-M 'P 1'
_symmetry_Int_Tables_number 1
_cell_length_a 4.215
_cell_length_b 4.215
_cell_length_c 4.380
_cell_angle_alpha 90.00
_cell_angle_beta 90.00
_cell_angle_gamma 90.00
loop_
_symmetry_equiv_pos_as_xyz
'x,y,z'
loop_
_atom_site_label
_atom_site_type_symbol
_atom_site_fract_x
_atom_site_fract_y
_atom_site_fract_z
Sb1 Sb 0.000 0.000 0.000
Pb1 Pb 0.500 0.500 0.500
N1 N 0.000 0.500 0.000
N2 N 0.500 0.000 0.000
F1 F 0.000 0.000 0.500
# Energy relative to the elements, uncorrected (eV per atom): 0.11
# SG: P4/mmm (123)
# Raw total energy (eV per atom): -5.161
# Excess energy over the best structure of this formula in the dataset (eV per formula unit): 0.00
# Crystal system: tetragonal


# PBE SbPbN2F, relaxed
data_SbPbN2F
_chemical_formula_sum 'Sb1 Pb1 N2 F1'
_symmetry_space_group_name_H-M 'P 1'
_symmetry_Int_Tables_number 1
_cell_length_a 4.494
_cell_length_b 4.494
_cell_length_c 4.322
_cell_angle_alpha 90.00
_cell_angle_beta 90.00
_cell_angle_gamma 90.00
loop_
_symmetry_equiv_pos_as_xyz
'x,y,z'
loop_
_atom_site_label
_atom_site_type_symbol
_atom_site_fract_x
_atom_site_fract_y
_atom_site_fract_z
Sb1 Sb 0.000 0.000 0.000
Pb1 Pb 0.500 0.500 0.500
N1 N 0.000 0.500 0.500
N2 N 0.500 0.000 0.500
F1 F 0.500 0.500 0.000
# Energy relative to the elements, uncorrected (eV per atom): 0.80
# SG: P4/mmm (123)
# Raw total energy (eV per atom): -4.473
# Excess energy over the best structure of this formula in the dataset (eV per formula unit): 3.44
# Crystal system: tetragonal


# PBE SbPbNF2, relaxed
data_SbPbNF2
_chemical_formula_sum 'Sb1 Pb1 N1 F2'
_symmetry_space_group_name_H-M 'P 1'
_symmetry_Int_Tables_number 1
_cell_length_a 4.563
_cell_length_b 4.563
_cell_length_c 4.245
_cell_angle_alpha 90.00
_cell_angle_beta 90.00
_cell_angle_gamma 90.00
loop_
_symmetry_equiv_pos_as_xyz
'x,y,z'
loop_
_atom_site_label
_atom_site_type_symbol
_atom_site_fract_x
_atom_site_fract_y
_atom_site_fract_z
Sb1 Sb 0.000 0.000 0.000
Pb1 Pb 0.500 0.500 0.500
N1 N 0.000 0.000 0.500
F1 F 0.000 0.500 0.000
F2 F 0.500 0.000 0.000
# Energy relative to the elements, uncorrected (eV per atom): -0.70
# SG: P4/mmm (123)
# Raw total energy (eV per atom): -4.683
# Excess energy over the best structure of this formula in the dataset (eV per formula unit): 0.00
# Crystal system: tetragonal


# PBE ScPbN2F, relaxed
data_ScPbN2F
_chemical_formula_sum 'Sc1 Pb1 N2 F1'
_symmetry_space_group_name_H-M 'P 1'
_symmetry_Int_Tables_number 1
_cell_length_a 4.372
_cell_length_b 4.372
_cell_length_c 4.255
_cell_angle_alpha 90.00
_cell_angle_beta 90.00
_cell_angle_gamma 90.00
loop_
_symmetry_equiv_pos_as_xyz
'x,y,z'
loop_
_atom_site_label
_atom_site_type_symbol
_atom_site_fract_x
_atom_site_fract_y
_atom_site_fract_z
Sc1 Sc 0.000 0.000 0.000
Pb1 Pb 0.500 0.500 0.500
N1 N 0.000 0.500 0.500
N2 N 0.500 0.000 0.500
F1 F 0.500 0.500 0.000
# Energy relative to the elements, uncorrected (eV per atom): 0.22
# SG: P4/mmm (123)
# Raw total energy (eV per atom): -5.489
# Excess energy over the best structure of this formula in the dataset (eV per formula unit): 4.35
# Crystal system: tetragonal


# PBE ScPbN2F, relaxed
data_ScPbN2F
_chemical_formula_sum 'Sc1 Pb1 N2 F1'
_symmetry_space_group_name_H-M 'P 1'
_symmetry_Int_Tables_number 1
_cell_length_a 4.271
_cell_length_b 4.271
_cell_length_c 4.108
_cell_angle_alpha 90.00
_cell_angle_beta 90.00
_cell_angle_gamma 90.00
loop_
_symmetry_equiv_pos_as_xyz
'x,y,z'
loop_
_atom_site_label
_atom_site_type_symbol
_atom_site_fract_x
_atom_site_fract_y
_atom_site_fract_z
Sc1 Sc 0.000 0.000 0.000
Pb1 Pb 0.500 0.500 0.500
N1 N 0.000 0.500 0.000
N2 N 0.500 0.000 0.000
F1 F 0.000 0.000 0.500
# Energy relative to the elements, uncorrected (eV per atom): -0.65
# SG: P4/mmm (123)
# Raw total energy (eV per atom): -6.359
# Excess energy over the best structure of this formula in the dataset (eV per formula unit): 0.00
# Crystal system: tetragonal


# PBE ScPbNF2, relaxed
data_ScPbNF2
_chemical_formula_sum 'Sc1 Pb1 N1 F2'
_symmetry_space_group_name_H-M 'P 1'
_symmetry_Int_Tables_number 1
_cell_length_a 4.069
_cell_length_b 4.069
_cell_length_c 4.302
_cell_angle_alpha 90.00
_cell_angle_beta 90.00
_cell_angle_gamma 90.00
loop_
_symmetry_equiv_pos_as_xyz
'x,y,z'
loop_
_atom_site_label
_atom_site_type_symbol
_atom_site_fract_x
_atom_site_fract_y
_atom_site_fract_z
Sc1 Sc 0.000 0.000 0.000
Pb1 Pb 0.500 0.500 0.500
N1 N 0.000 0.000 0.500
F1 F 0.000 0.500 0.000
F2 F 0.500 0.000 0.000
# Energy relative to the elements, uncorrected (eV per atom): -1.89
# SG: P4/mmm (123)
# Raw total energy (eV per atom): -6.316
# Excess energy over the best structure of this formula in the dataset (eV per formula unit): 0.00
# Crystal system: tetragonal


# PBE ScPbNF2, relaxed
data_ScPbNF2
_chemical_formula_sum 'Sc1 Pb1 N1 F2'
_symmetry_space_group_name_H-M 'P 1'
_symmetry_Int_Tables_number 1
_cell_length_a 4.550
_cell_length_b 4.550
_cell_length_c 4.457
_cell_angle_alpha 90.00
_cell_angle_beta 90.00
_cell_angle_gamma 90.00
loop_
_symmetry_equiv_pos_as_xyz
'x,y,z'
loop_
_atom_site_label
_atom_site_type_symbol
_atom_site_fract_x
_atom_site_fract_y
_atom_site_fract_z
Sc1 Sc 0.000 0.000 0.000
Pb1 Pb 0.500 0.500 0.500
N1 N 0.500 0.500 0.000
F1 F 0.000 0.500 0.500
F2 F 0.500 0.000 0.500
# Energy relative to the elements, uncorrected (eV per atom): -0.67
# SG: P4/mmm (123)
# Raw total energy (eV per atom): -5.089
# Excess energy over the best structure of this formula in the dataset (eV per formula unit): 6.13
# Crystal system: tetragonal


# PBE SiPbN2F, relaxed
data_SiPbN2F
_chemical_formula_sum 'Si1 Pb1 N2 F1'
_symmetry_space_group_name_H-M 'P 1'
_symmetry_Int_Tables_number 1
_cell_length_a 4.374
_cell_length_b 4.374
_cell_length_c 4.381
_cell_angle_alpha 90.00
_cell_angle_beta 90.00
_cell_angle_gamma 90.00
loop_
_symmetry_equiv_pos_as_xyz
'x,y,z'
loop_
_atom_site_label
_atom_site_type_symbol
_atom_site_fract_x
_atom_site_fract_y
_atom_site_fract_z
Si1 Si 0.000 0.000 0.000
Pb1 Pb 0.500 0.500 0.500
N1 N 0.000 0.500 0.500
N2 N 0.500 0.000 0.500
F1 F 0.500 0.500 0.000
# Energy relative to the elements, uncorrected (eV per atom): 1.13
# SG: P4/mmm (123)
# Raw total energy (eV per atom): -4.401
# Excess energy over the best structure of this formula in the dataset (eV per formula unit): 7.56
# Crystal system: tetragonal


# PBE SiPbN2F, relaxed
data_SiPbN2F
_chemical_formula_sum 'Si1 Pb1 N2 F1'
_symmetry_space_group_name_H-M 'P 1'
_symmetry_Int_Tables_number 1
_cell_length_a 3.645
_cell_length_b 3.645
_cell_length_c 4.640
_cell_angle_alpha 90.00
_cell_angle_beta 90.00
_cell_angle_gamma 90.00
loop_
_symmetry_equiv_pos_as_xyz
'x,y,z'
loop_
_atom_site_label
_atom_site_type_symbol
_atom_site_fract_x
_atom_site_fract_y
_atom_site_fract_z
Si1 Si 0.000 0.000 0.000
Pb1 Pb 0.500 0.500 0.500
N1 N 0.000 0.500 0.000
N2 N 0.500 0.000 0.000
F1 F 0.000 0.000 0.500
# Energy relative to the elements, uncorrected (eV per atom): -0.38
# SG: P4/mmm (123)
# Raw total energy (eV per atom): -5.912
# Excess energy over the best structure of this formula in the dataset (eV per formula unit): 0.00
# Crystal system: tetragonal


# PBE SnPbN2F, relaxed
data_SnPbN2F
_chemical_formula_sum 'Sn1 Pb1 N2 F1'
_symmetry_space_group_name_H-M 'P 1'
_symmetry_Int_Tables_number 1
_cell_length_a 4.308
_cell_length_b 4.308
_cell_length_c 4.407
_cell_angle_alpha 90.00
_cell_angle_beta 90.00
_cell_angle_gamma 90.00
loop_
_symmetry_equiv_pos_as_xyz
'x,y,z'
loop_
_atom_site_label
_atom_site_type_symbol
_atom_site_fract_x
_atom_site_fract_y
_atom_site_fract_z
Sn1 Sn 0.000 0.000 0.000
Pb1 Pb 0.500 0.500 0.500
N1 N 0.000 0.500 0.000
N2 N 0.500 0.000 0.000
F1 F 0.000 0.000 0.500
# Energy relative to the elements, uncorrected (eV per atom): 0.10
# SG: P4/mmm (123)
# Raw total energy (eV per atom): -5.150
# Excess energy over the best structure of this formula in the dataset (eV per formula unit): 0.00
# Crystal system: tetragonal